# Pr2IBr5

Pr2IBr5 after structural relaxation (PBE, Alexandria via LeMat-Bulk).

SG: Immm
Raw total energy: -32.665 eV per cell
DOS(E_F): 0.00 states/eV per cell

Unit cell a=4.9583 b=7.8038 c=7.8038 alpha=70.40 beta=71.48 gamma=71.48
With the nearest neighbours (Å) after each atom.
Sites, in units of the cell vectors:
Pr 0.7557 0.7443 0.7443  7 Br 2.87-3.14
Pr 0.2443 0.2557 0.2557  7 Br 2.87-3.14
I 0.0000 0.0000 0.0000  4 Pr 3.89, 12 Br 4.22-4.29
Br 0.0000 0.5000 0.5000  2 Pr 2.87
Br 0.6643 0.5229 0.1485  3 Pr 3.01-3.14, 1 Br 3.37
Br 0.3357 0.4771 0.8515  3 Pr 3.01-3.14, 1 Br 3.37
Br 0.3357 0.8515 0.4771  3 Pr 3.01-3.14, 1 Br 3.37
Br 0.6643 0.1485 0.5229  3 Pr 3.01-3.14, 1 Br 3.37

# Er4Ag2HgPd

Er4Ag2HgPd after structural relaxation (PBE, Alexandria via LeMat-Bulk).

SG: R-3m
Raw total energy: -33.639 eV per cell
DOS(E_F): 3.31 states/eV per cell

Unit cell a=5.0855 b=5.0855 c=8.7828 alpha=73.17 beta=73.17 gamma=60.00
With the nearest neighbours (Å) after each atom.
Sites, in units of the cell vectors:
Er 0.3798 0.3798 0.8606  1 Pd 2.99, 4 Ag 3.05-3.14, 3 Hg 3.15
Er 0.8713 0.8713 0.3861  3 Pd 3.08, 4 Ag 3.09-3.18, 1 Hg 3.20
Er 0.1287 0.1287 0.6139  3 Pd 3.08, 4 Ag 3.09-3.18, 1 Hg 3.20
Er 0.6202 0.6202 0.1394  1 Pd 2.99, 4 Ag 3.05-3.14, 3 Hg 3.15
Ag 0.7467 0.7467 0.7600  8 Er 3.05-3.18
Ag 0.2533 0.2533 0.2400  8 Er 3.05-3.18
Hg 0.0000 0.0000 0.0000  8 Er 3.15-3.20
Pd 0.5000 0.5000 0.5000  8 Er 2.99-3.08

# NaU3Cu4S12

NaU3Cu4S12 after structural relaxation (PBE, Alexandria via LeMat-Bulk).

SG: R32
Raw total energy: -115.480 eV per cell
DOS(E_F): 16.94 states/eV per cell

Unit cell a=8.4281 b=8.4281 c=8.4281 alpha=106.28 beta=106.28 gamma=106.28
With the nearest neighbours (Å) after each atom.
Sites, in units of the cell vectors:
Na 0.0000 0.0000 0.0000  6 S 3.20
U 0.5594 0.4406 0.0000  6 S 2.49-2.63
U 0.4406 0.0000 0.5594  6 S 2.49-2.63
U 0.0000 0.5594 0.4406  6 S 2.49-2.63
Cu 0.9306 0.0694 0.5000  3 S 2.19-2.25
Cu 0.0694 0.5000 0.9306  3 S 2.19-2.25
Cu 0.5000 0.9306 0.0694  3 S 2.19-2.25
Cu 0.5000 0.5000 0.5000  3 S 2.17
S 0.5000 0.3391 0.6609  1 Cu 2.17
S 0.9027 0.5000 0.0973  1 Cu 2.25
S 0.0973 0.9027 0.5000  1 Cu 2.25
S 0.5000 0.0973 0.9027  1 Cu 2.25
S 0.3496 0.9695 0.2414  1 Cu 2.19
S 0.2414 0.3496 0.9695  1 Cu 2.19
S 0.9695 0.2414 0.3496  1 Cu 2.19
S 0.6504 0.7586 0.0305  1 Cu 2.19
S 0.0305 0.6504 0.7586  1 Cu 2.19
S 0.7586 0.0305 0.6504  1 Cu 2.19
S 0.6609 0.5000 0.3391  1 Cu 2.17
S 0.3391 0.6609 0.5000  1 Cu 2.17

# SrHo2Pd

SrHo2Pd after structural relaxation (PBE, Alexandria via LeMat-Bulk).

SG: R-3m
Raw total energy: -16.738 eV per cell
DOS(E_F): 3.89 states/eV per cell

Unit cell a=4.0366 b=4.0366 c=10.8855 alpha=79.31 beta=79.31 gamma=60.00
With the nearest neighbours (Å) after each atom.
Sites, in units of the cell vectors:
Sr 0.0000 0.0000 0.0000  2 Ho 3.80, 6 Sr 4.04
Ho 0.1191 0.1191 0.6427  3 Pd 2.78
Ho 0.8809 0.8809 0.3573  3 Pd 2.78
Pd 0.5000 0.5000 0.5000  6 Ho 2.78

# YPt3

YPt3 after structural relaxation (PBE, Alexandria via LeMat-Bulk).

SG: Pmmn
Raw total energy: -56.417 eV per cell
DOS(E_F): 6.76 states/eV per cell

Unit cell a=5.8606 b=4.5997 c=5.4348 alpha=90.00 beta=90.00 gamma=90.00
With the nearest neighbours (Å) after each atom.
Sites, in units of the cell vectors:
Pt 0.0000 0.5000 0.2837  6 Pt 2.78-2.82, 4 Y 2.96-3.02
Pt 0.2349 0.0000 0.1490  6 Pt 2.75-2.82, 4 Y 3.00-3.08
Pt 0.2651 0.5000 0.8510  6 Pt 2.75-2.82, 4 Y 3.00-3.08
Pt 0.5000 0.0000 0.7163  6 Pt 2.78-2.82, 4 Y 2.96-3.02
Pt 0.7651 0.0000 0.1490  6 Pt 2.75-2.82, 4 Y 3.00-3.08
Pt 0.7349 0.5000 0.8510  6 Pt 2.75-2.82, 4 Y 3.00-3.08
Y 0.0000 0.0000 0.6428  12 Pt 2.96-3.08
Y 0.5000 0.5000 0.3572  12 Pt 2.96-3.08

# Pr12Dy5Er2

Pr12Dy5Er2 after structural relaxation (PBE, Alexandria via LeMat-Bulk).

SG: C2/m
Raw total energy: -86.331 eV per cell
DOS(E_F): 30.06 states/eV per cell

Unit cell a=7.5929 b=10.4000 c=10.0876 alpha=64.88 beta=90.00 gamma=111.41
With the nearest neighbours (Å) after each atom.
Sites, in units of the cell vectors:
Pr 0.9972 0.9944 0.2082  1 Dy 2.97, 2 Er 3.08
Pr 0.0881 0.6786 0.8480  6 Pr 3.42-3.81, 3 Dy 3.67-3.82
Pr 0.5905 0.6786 0.8480  6 Pr 3.42-3.81, 3 Dy 3.67-3.82
Pr 0.0724 0.6702 0.4964  5 Pr 3.27-3.64
Pr 0.5978 0.6702 0.4964  5 Pr 3.27-3.64
Pr 0.5088 0.0176 0.6701  5 Pr 3.36-3.60, 2 Er 3.59
Pr 0.4912 0.9824 0.3299  5 Pr 3.36-3.60, 2 Er 3.59
Pr 0.9276 0.3298 0.5036  5 Pr 3.27-3.64
Pr 0.4022 0.3298 0.5036  5 Pr 3.27-3.64
Pr 0.9119 0.3214 0.1520  6 Pr 3.42-3.81, 3 Dy 3.67-3.82
Pr 0.4095 0.3214 0.1520  6 Pr 3.42-3.81, 3 Dy 3.67-3.82
Pr 0.0028 0.0056 0.7918  1 Dy 2.97, 2 Er 3.08
Dy 0.1744 0.3489 0.8293  10 Pr 3.51-3.92, 2 Er 3.78, 2 Dy 3.80
Dy 0.3216 0.6432 0.1931  2 Er 3.45, 8 Pr 3.69-3.84, 2 Dy 3.80
Dy 0.0000 0.0000 0.5000  2 Pr 2.97
Dy 0.6784 0.3568 0.8069  2 Er 3.45, 8 Pr 3.69-3.84, 2 Dy 3.80
Dy 0.8256 0.6511 0.1707  10 Pr 3.51-3.92, 2 Er 3.78, 2 Dy 3.80
Er 0.6999 0.0000 0.0000  1 Er 3.04, 2 Pr 3.08
Er 0.3001 0.0000 0.0000  1 Er 3.04, 2 Pr 3.08

# Ge3IrSe

Ge3IrSe after structural relaxation (PBE, Alexandria via LeMat-Bulk).

SG: Pm-3m
Raw total energy: -25.726 eV per cell
DOS(E_F): 2.86 states/eV per cell

Unit cell a=4.8172 b=4.8172 c=4.8172 alpha=90.00 beta=90.00 gamma=90.00
With the nearest neighbours (Å) after each atom.
Sites, in units of the cell vectors:
Ge 0.0000 0.5000 0.0000  2 Ir 2.41
Ge 0.0000 0.0000 0.5000  2 Ir 2.41
Ge 0.5000 0.0000 0.0000  2 Ir 2.41
Ir 0.0000 0.0000 0.0000  6 Ge 2.41
Se 0.5000 0.5000 0.5000  12 Ge 3.41

# ZnBiTeP2

ZnBiTeP2 after structural relaxation (PBE, Alexandria via LeMat-Bulk).

SG: P4/mmm
Raw total energy: -15.562 eV per cell
DOS(E_F): 4.40 states/eV per cell

Unit cell a=4.6544 b=5.6120 c=4.6544 alpha=90.00 beta=90.00 gamma=90.00
With the nearest neighbours (Å) after each atom.
Sites, in units of the cell vectors:
P 0.0000 0.0000 0.5000  2 Zn 2.33
P 0.5000 0.0000 0.0000  2 Zn 2.33
Zn 0.0000 0.0000 0.0000  4 P 2.33
Te 0.5000 0.5000 0.5000  4 Bi 3.29, 8 P 3.65
Bi 0.0000 0.5000 0.0000  2 Zn 2.81